Record 1
Compound: Tb3CeSb3
Source: Alexandria via LeMat-Bulk
Functional: PBE
Structure: relaxed

Calculated values
relative energy among the computed polymorphs	0	meV per atom

Geometry as CIF:
```
data_Tb3CeSb3
_space_group_name_H-M_alt 'P 1'
_space_group_IT_number 1
_space_group_name_Hall 'P 1'
_cell_length_a 9.2969
_cell_length_b 9.2969
_cell_length_c 9.2969
_cell_angle_alpha 90.00
_cell_angle_beta 90.00
_cell_angle_gamma 90.00
loop_
_atom_site_label
_atom_site_type_symbol
_atom_site_fract_x
_atom_site_fract_y
_atom_site_fract_z
Sb1 Sb 0.0005 0.2454 0.8792
Sb2 Sb 0.2546 0.1208 0.5005
Sb3 Sb 0.2454 0.8792 0.0005
Sb4 Sb 0.1208 0.5005 0.2546
Sb5 Sb 0.9995 0.7454 0.6208
Sb6 Sb 0.5005 0.2546 0.1208
Sb7 Sb 0.7546 0.3792 0.4995
Sb8 Sb 0.3792 0.4995 0.7546
Sb9 Sb 0.6208 0.9995 0.7454
Sb10 Sb 0.4995 0.7546 0.3792
Sb11 Sb 0.8792 0.0005 0.2454
Sb12 Sb 0.7454 0.6208 0.9995
Tb1 Tb 0.9243 0.9243 0.9243
Tb2 Tb 0.3199 0.8199 0.6801
Tb3 Tb 0.3206 0.1794 0.8206
Tb4 Tb 0.6794 0.6794 0.6794
Tb5 Tb 0.1794 0.8206 0.3206
Tb6 Tb 0.6801 0.3199 0.8199
Tb7 Tb 0.0757 0.4243 0.5757
Tb8 Tb 0.4243 0.5757 0.0757
Tb9 Tb 0.8206 0.3206 0.1794
Tb10 Tb 0.8199 0.6801 0.3199
Tb11 Tb 0.5757 0.0757 0.4243
Tb12 Tb 0.1801 0.1801 0.1801
Ce1 Ce 0.9286 0.0714 0.5714
Ce2 Ce 0.5714 0.9286 0.0714
Ce3 Ce 0.4286 0.4286 0.4286
Ce4 Ce 0.0714 0.5714 0.9286
```

***

Record 2
Compound: LaDyY3
Source: Alexandria via LeMat-Bulk
Functional: PBE
Structure: relaxed

Calculated values
relative energy among the computed polymorphs	0	meV per atom
ΔE_f	34	meV/atom

Geometry as CIF:
```
data_LaDyY3
_space_group_name_H-M_alt 'P 1'
_space_group_IT_number 1
_space_group_name_Hall 'P 1'
_cell_length_a 3.6007
_cell_length_b 10.1818
_cell_length_c 11.9208
_cell_angle_alpha 105.30
_cell_angle_beta 98.68
_cell_angle_gamma 122.04
loop_
_atom_site_label
_atom_site_type_symbol
_atom_site_fract_x
_atom_site_fract_y
_atom_site_fract_z
Y1 Y 0.8417 0.9446 0.8495
Y2 Y 0.0084 0.3279 0.0328
Y3 Y 0.9916 0.6721 0.9672
Y4 Y 0.0886 0.8694 0.5685
Y5 Y 0.9114 0.1306 0.4315
Y6 Y 0.1583 0.0554 0.1505
La1 La 0.8914 0.4797 0.3440
La2 La 0.1086 0.5203 0.6560
Dy1 Dy 0.7565 0.7552 0.2483
Dy2 Dy 0.2435 0.2448 0.7517
```

***

Record 3
Compound: LiHfAg2
Source: Alexandria via LeMat-Bulk
Functional: PBE
Structure: relaxed

Calculated values
relative energy among the computed polymorphs	26	meV per atom
ΔE_f	-27	meV/atom

Geometry as CIF:
```
data_LiHfAg2
_space_group_name_H-M_alt 'P 1'
_space_group_IT_number 1
_space_group_name_Hall 'P 1'
_cell_length_a 2.9401
_cell_length_b 5.0478
_cell_length_c 5.0478
_cell_angle_alpha 90.00
_cell_angle_beta 90.00
_cell_angle_gamma 90.00
loop_
_atom_site_label
_atom_site_type_symbol
_atom_site_fract_x
_atom_site_fract_y
_atom_site_fract_z
Hf1 Hf 0.5000 0.5000 0.5000
Ag1 Ag 0.0000 0.0000 0.5000
Ag2 Ag 0.0000 0.5000 0.0000
Li1 Li 0.5000 0.0000 0.0000
```

***

Record 4
Compound: Pm2ScGe3Rh4
Source: Alexandria via LeMat-Bulk
Functional: PBE
Structure: relaxed

Calculated values
ΔE_f	-920	meV/atom

Geometry as CIF:
```
data_Pm2ScGe3Rh4
_space_group_name_H-M_alt 'P 1'
_space_group_IT_number 1
_space_group_name_Hall 'P 1'
_cell_length_a 4.1436
_cell_length_b 4.1436
_cell_length_c 10.9891
_cell_angle_alpha 90.00
_cell_angle_beta 90.00
_cell_angle_gamma 90.00
loop_
_atom_site_label
_atom_site_type_symbol
_atom_site_fract_x
_atom_site_fract_y
_atom_site_fract_z
Rh1 Rh 0.5000 0.5000 0.0000
Rh2 Rh 0.0000 0.5000 0.3512
Rh3 Rh 0.5000 0.0000 0.6488
Rh4 Rh 0.0000 0.0000 0.0000
Pm1 Pm 0.0000 0.5000 0.7641
Pm2 Pm 0.5000 0.0000 0.2359
Ge1 Ge 0.0000 0.0000 0.5000
Ge2 Ge 0.5000 0.0000 0.8747
Ge3 Ge 0.0000 0.5000 0.1253
Sc1 Sc 0.5000 0.5000 0.5000
```

***

Record 5
Compound: K3Sn2Bi4
Source: Alexandria via LeMat-Bulk
Functional: PBE
Structure: relaxed

Calculated values
ΔE_f	-192	meV/atom

Geometry as CIF:
```
data_K3Sn2Bi4
_space_group_name_H-M_alt 'P 1'
_space_group_IT_number 1
_space_group_name_Hall 'P 1'
_cell_length_a 7.2246
_cell_length_b 10.3270
_cell_length_c 10.3270
_cell_angle_alpha 71.10
_cell_angle_beta 84.96
_cell_angle_gamma 84.96
loop_
_atom_site_label
_atom_site_type_symbol
_atom_site_fract_x
_atom_site_fract_y
_atom_site_fract_z
K1 K 0.0749 0.9905 0.7747
K2 K 0.5749 0.7747 0.9905
K3 K 0.2500 0.4238 0.5762
K4 K 0.7500 0.5762 0.4238
K5 K 0.9251 0.0095 0.2253
K6 K 0.4251 0.2253 0.0095
Bi1 Bi 0.9208 0.3361 0.8955
Bi2 Bi 0.0767 0.7733 0.5546
Bi3 Bi 0.5792 0.1045 0.6639
Bi4 Bi 0.5767 0.5546 0.7733
Bi5 Bi 0.4233 0.4454 0.2267
Bi6 Bi 0.4208 0.8955 0.3361
Bi7 Bi 0.9233 0.2267 0.4454
Bi8 Bi 0.0792 0.6639 0.1045
Sn1 Sn 0.8426 0.4142 0.1554
Sn2 Sn 0.1574 0.5858 0.8446
Sn3 Sn 0.6574 0.8446 0.5858
Sn4 Sn 0.3426 0.1554 0.4142
```

***

Record 6
Compound: MgBPd3
Source: Alexandria via LeMat-Bulk
Functional: PBE
Structure: relaxed

Calculated values
relative energy among the computed polymorphs	560	meV per atom
ΔE_f	74	meV/atom

Geometry as CIF:
```
data_MgBPd3
_space_group_name_H-M_alt 'P 1'
_space_group_IT_number 1
_space_group_name_Hall 'P 1'
_cell_length_a 2.9859
_cell_length_b 7.1034
_cell_length_c 7.1034
_cell_angle_alpha 134.34
_cell_angle_beta 90.00
_cell_angle_gamma 90.00
loop_
_atom_site_label
_atom_site_type_symbol
_atom_site_fract_x
_atom_site_fract_y
_atom_site_fract_z
Pd1 Pd 0.5000 0.1643 0.3216
Pd2 Pd 0.5000 0.6784 0.8357
Pd3 Pd 0.0000 0.2626 0.7374
Mg1 Mg 0.5000 0.0977 0.9023
B1 B 0.0000 0.4251 0.5749
```

***

Record 7
Compound: CsTe2MoN
Source: Alexandria via LeMat-Bulk
Functional: PBE
Structure: relaxed

Calculated values
relative energy among the computed polymorphs	2236	meV per atom

Geometry as CIF:
```
data_CsTe2MoN
_space_group_name_H-M_alt 'P 1'
_space_group_IT_number 1
_space_group_name_Hall 'P 1'
_cell_length_a 6.3662
_cell_length_b 6.3662
_cell_length_c 4.3253
_cell_angle_alpha 90.00
_cell_angle_beta 90.00
_cell_angle_gamma 90.00
loop_
_atom_site_label
_atom_site_type_symbol
_atom_site_fract_x
_atom_site_fract_y
_atom_site_fract_z
Cs1 Cs 0.0000 0.0000 0.0000
Te1 Te 0.0000 0.5000 0.0000
Te2 Te 0.5000 0.0000 0.0000
Mo1 Mo 0.5000 0.5000 0.5000
N1 N 0.0000 0.0000 0.5000
```

***

Record 8
Compound: SrTaNbCr2
Source: Alexandria via LeMat-Bulk
Functional: PBE
Structure: relaxed

Calculated values
relative energy among the computed polymorphs	0	meV per atom
ΔE_f	1155	meV/atom

Geometry as CIF:
```
data_SrTaNbCr2
_space_group_name_H-M_alt 'P 1'
_space_group_IT_number 1
_space_group_name_Hall 'P 1'
_cell_length_a 4.9744
_cell_length_b 4.9745
_cell_length_c 4.9744
_cell_angle_alpha 90.00
_cell_angle_beta 90.00
_cell_angle_gamma 90.00
loop_
_atom_site_label
_atom_site_type_symbol
_atom_site_fract_x
_atom_site_fract_y
_atom_site_fract_z
Cr1 Cr 0.5000 0.0000 0.0000
Cr2 Cr 0.0000 0.0000 0.5000
Ta1 Ta 0.0000 0.0000 0.0000
Sr1 Sr 0.5000 0.5000 0.5000
Nb1 Nb 0.0000 0.5000 0.0000
```

***

Record 9
Compound: KCd4Ag2Pt
Source: Alexandria via LeMat-Bulk
Functional: PBE
Structure: relaxed

Calculated values
ΔE_f	-6	meV/atom

Geometry as CIF:
```
data_KCd4Ag2Pt
_space_group_name_H-M_alt 'P 1'
_space_group_IT_number 1
_space_group_name_Hall 'P 1'
_cell_length_a 5.0090
_cell_length_b 5.0090
_cell_length_c 8.4761
_cell_angle_alpha 72.81
_cell_angle_beta 72.81
_cell_angle_gamma 60.00
loop_
_atom_site_label
_atom_site_type_symbol
_atom_site_fract_x
_atom_site_fract_y
_atom_site_fract_z
K1 K 0.0000 0.0000 0.0000
Cd1 Cd 0.3862 0.3862 0.8415
Cd2 Cd 0.6138 0.6138 0.1585
Cd3 Cd 0.1408 0.1408 0.5776
Cd4 Cd 0.8592 0.8592 0.4224
Ag1 Ag 0.7400 0.7400 0.7800
Ag2 Ag 0.2600 0.2600 0.2200
Pt1 Pt 0.5000 0.5000 0.5000
```

***

Record 10
Compound: VOsRh2
Source: Alexandria via LeMat-Bulk
Functional: PBE
Structure: relaxed

Calculated values
relative energy among the computed polymorphs	330	meV per atom
ΔE_f	73	meV/atom

Geometry as CIF:
```
data_VOsRh2
_space_group_name_H-M_alt 'P 1'
_space_group_IT_number 1
_space_group_name_Hall 'P 1'
_cell_length_a 2.6835
_cell_length_b 4.7127
_cell_length_c 9.0297
_cell_angle_alpha 90.00
_cell_angle_beta 90.00
_cell_angle_gamma 90.00
loop_
_atom_site_label
_atom_site_type_symbol
_atom_site_fract_x
_atom_site_fract_y
_atom_site_fract_z
Rh1 Rh 0.7500 0.2471 0.2500
Rh2 Rh 0.7500 0.2471 0.7500
Rh3 Rh 0.2500 0.7529 0.2500
Rh4 Rh 0.2500 0.7529 0.7500
V1 V 0.5000 0.0000 0.0000
V2 V 0.0000 0.0000 0.5000
Os1 Os 0.5000 0.5000 0.5000
Os2 Os 0.0000 0.5000 0.0000
```

***

Record 11
Compound: ZrReSi2
Source: Alexandria via LeMat-Bulk
Functional: PBE
Structure: relaxed

Calculated values
VASP energy	-8.1681	eV per atom

Geometry as CIF:
```
data_ZrReSi2
_space_group_name_H-M_alt 'P 1'
_space_group_IT_number 1
_space_group_name_Hall 'P 1'
_cell_length_a 4.4454
_cell_length_b 4.4454
_cell_length_c 4.4454
_cell_angle_alpha 60.00
_cell_angle_beta 60.00
_cell_angle_gamma 60.00
loop_
_atom_site_label
_atom_site_type_symbol
_atom_site_fract_x
_atom_site_fract_y
_atom_site_fract_z
Si1 Si 0.2500 0.2500 0.2500
Si2 Si 0.7500 0.7500 0.7500
Zr1 Zr 0.0000 0.0000 0.0000
Re1 Re 0.5000 0.5000 0.5000
```

***

Record 12
Compound: UMnVGa
Source: Alexandria via LeMat-Bulk
Functional: PBE
Structure: relaxed

Calculated values
ΔE_f	35	meV/atom

Geometry as CIF:
```
data_UMnVGa
_space_group_name_H-M_alt 'P 1'
_space_group_IT_number 1
_space_group_name_Hall 'P 1'
_cell_length_a 4.4176
_cell_length_b 4.4176
_cell_length_c 4.4176
_cell_angle_alpha 60.00
_cell_angle_beta 60.00
_cell_angle_gamma 60.00
loop_
_atom_site_label
_atom_site_type_symbol
_atom_site_fract_x
_atom_site_fract_y
_atom_site_fract_z
V1 V 0.5000 0.5000 0.5000
U1 U 0.7500 0.7500 0.7500
Mn1 Mn 0.0000 0.0000 0.0000
Ga1 Ga 0.2500 0.2500 0.2500
```

***

Record 13
Compound: Ca2CrNiBr
Source: Alexandria via LeMat-Bulk
Functional: PBE
Structure: relaxed

Calculated values
VASP energy	-3.5621	eV per atom

Geometry as CIF:
```
data_Ca2CrNiBr
_space_group_name_H-M_alt 'P 1'
_space_group_IT_number 1
_space_group_name_Hall 'P 1'
_cell_length_a 5.7005
_cell_length_b 4.6842
_cell_length_c 5.7005
_cell_angle_alpha 90.00
_cell_angle_beta 90.00
_cell_angle_gamma 90.00
loop_
_atom_site_label
_atom_site_type_symbol
_atom_site_fract_x
_atom_site_fract_y
_atom_site_fract_z
Ca1 Ca 0.5000 0.0000 0.0000
Ca2 Ca 0.0000 0.0000 0.5000
Cr1 Cr 0.0000 0.0000 0.0000
Ni1 Ni 0.5000 0.5000 0.5000
Br1 Br 0.0000 0.5000 0.0000
```

***

Record 14
Compound: Ga2HRu
Source: Alexandria via LeMat-Bulk
Functional: PBE
Structure: relaxed

Calculated values
relative energy among the computed polymorphs	64	meV per atom

Geometry as CIF:
```
data_Ga2HRu
_space_group_name_H-M_alt 'P 1'
_space_group_IT_number 1
_space_group_name_Hall 'P 1'
_cell_length_a 4.6756
_cell_length_b 4.6756
_cell_length_c 6.2699
_cell_angle_alpha 68.11
_cell_angle_beta 68.11
_cell_angle_gamma 90.00
loop_
_atom_site_label
_atom_site_type_symbol
_atom_site_fract_x
_atom_site_fract_y
_atom_site_fract_z
Ga1 Ga 0.8750 0.7595 0.7500
Ga2 Ga 0.3750 0.4905 0.7500
Ga3 Ga 0.2405 0.6250 0.2500
Ga4 Ga 0.5095 0.1250 0.2500
Ru1 Ru 0.7500 0.2500 0.5000
Ru2 Ru 0.0000 0.0000 0.0000
H1 H 0.2500 0.7500 0.5000
H2 H 0.5000 0.5000 0.0000
```

***

Record 15
Compound: ErPd2Pb
Source: Alexandria via LeMat-Bulk
Functional: PBE
Structure: relaxed

Calculated values
ΔE_f	-612	meV/atom

Geometry as CIF:
```
data_ErPd2Pb
_space_group_name_H-M_alt 'P 1'
_space_group_IT_number 1
_space_group_name_Hall 'P 1'
_cell_length_a 3.7725
_cell_length_b 4.6693
_cell_length_c 4.6693
_cell_angle_alpha 90.00
_cell_angle_beta 90.00
_cell_angle_gamma 90.00
loop_
_atom_site_label
_atom_site_type_symbol
_atom_site_fract_x
_atom_site_fract_y
_atom_site_fract_z
Pd1 Pd 0.0000 0.0000 0.5000
Pd2 Pd 0.0000 0.5000 0.0000
Pb1 Pb 0.5000 0.5000 0.5000
Er1 Er 0.5000 0.0000 0.0000
```

***

Record 16
Compound: GaCoH
Source: Alexandria via LeMat-Bulk
Functional: PBE
Structure: relaxed

Calculated values
relative energy among the computed polymorphs	44	meV per atom

Geometry as CIF:
```
data_GaCoH
_space_group_name_H-M_alt 'P 1'
_space_group_IT_number 1
_space_group_name_Hall 'P 1'
_cell_length_a 2.8168
_cell_length_b 2.7296
_cell_length_c 7.7244
_cell_angle_alpha 90.00
_cell_angle_beta 100.51
_cell_angle_gamma 90.00
loop_
_atom_site_label
_atom_site_type_symbol
_atom_site_fract_x
_atom_site_fract_y
_atom_site_fract_z
Co1 Co 0.1834 0.2500 0.8667
Co2 Co 0.8166 0.7500 0.1333
H1 H 0.2513 0.7500 0.0025
H2 H 0.7487 0.2500 0.9975
Ga1 Ga 0.4204 0.2500 0.3408
Ga2 Ga 0.5796 0.7500 0.6592
```

***

Record 17
Compound: SrNdCuRh
Source: Alexandria via LeMat-Bulk
Functional: PBE
Structure: relaxed

Calculated values
ΔE_f	-230	meV/atom

Geometry as CIF:
```
data_SrNdCuRh
_space_group_name_H-M_alt 'P 1'
_space_group_IT_number 1
_space_group_name_Hall 'P 1'
_cell_length_a 5.1075
_cell_length_b 5.1075
_cell_length_c 5.1075
_cell_angle_alpha 60.00
_cell_angle_beta 60.00
_cell_angle_gamma 60.00
loop_
_atom_site_label
_atom_site_type_symbol
_atom_site_fract_x
_atom_site_fract_y
_atom_site_fract_z
Nd1 Nd 0.7500 0.7500 0.7500
Sr1 Sr 0.2500 0.2500 0.2500
Rh1 Rh 0.5000 0.5000 0.5000
Cu1 Cu 0.0000 0.0000 0.0000
```

***

Record 18
Compound: TaBI2O
Source: Alexandria via LeMat-Bulk
Functional: PBE
Structure: relaxed

Calculated values
relative energy among the computed polymorphs	0	meV per atom

Geometry as CIF:
```
data_TaBI2O
_space_group_name_H-M_alt 'P 1'
_space_group_IT_number 1
_space_group_name_Hall 'P 1'
_cell_length_a 5.7074
_cell_length_b 5.7074
_cell_length_c 3.8794
_cell_angle_alpha 90.00
_cell_angle_beta 90.00
_cell_angle_gamma 90.00
loop_
_atom_site_label
_atom_site_type_symbol
_atom_site_fract_x
_atom_site_fract_y
_atom_site_fract_z
Ta1 Ta 0.0000 0.0000 0.0000
O1 O 0.0000 0.0000 0.5000
B1 B 0.5000 0.5000 0.5000
I1 I 0.0000 0.5000 0.0000
I2 I 0.5000 0.0000 0.0000
```

***

Record 19
Compound: SrTlRe2
Source: Alexandria via LeMat-Bulk
Functional: PBE
Structure: relaxed

Calculated values
relative energy among the computed polymorphs	923	meV per atom
ΔE_f	1310	meV/atom

Geometry as CIF:
```
data_SrTlRe2
_space_group_name_H-M_alt 'P 1'
_space_group_IT_number 1
_space_group_name_Hall 'P 1'
_cell_length_a 2.8963
_cell_length_b 2.8963
_cell_length_c 10.0185
_cell_angle_alpha 90.00
_cell_angle_beta 90.00
_cell_angle_gamma 106.93
loop_
_atom_site_label
_atom_site_type_symbol
_atom_site_fract_x
_atom_site_fract_y
_atom_site_fract_z
Tl1 Tl 0.5000 0.5000 0.7500
Sr1 Sr 0.5000 0.5000 0.2500
Re1 Re 0.0000 0.0000 0.5164
Re2 Re 0.0000 0.0000 0.9836
```

***

Record 20
Compound: NbAgSeN2
Source: Alexandria via LeMat-Bulk
Functional: PBE
Structure: relaxed

Calculated values
relative energy among the computed polymorphs	0	meV per atom

Geometry as CIF:
```
data_NbAgSeN2
_space_group_name_H-M_alt 'P 1'
_space_group_IT_number 1
_space_group_name_Hall 'P 1'
_cell_length_a 3.9905
_cell_length_b 3.9905
_cell_length_c 5.6362
_cell_angle_alpha 90.00
_cell_angle_beta 90.00
_cell_angle_gamma 90.00
loop_
_atom_site_label
_atom_site_type_symbol
_atom_site_fract_x
_atom_site_fract_y
_atom_site_fract_z
Ag1 Ag 0.5000 0.5000 0.5000
N1 N 0.5000 0.0000 0.0000
N2 N 0.0000 0.5000 0.0000
Nb1 Nb 0.0000 0.0000 0.0000
Se1 Se 0.0000 0.0000 0.5000
```